## Sc3MoBr (PBE)

Data for a geometry-optimized Sc3MoBr structure.

The structure in POSCAR format:
```
Sc3MoBr
1.0
-0.3801 -4.5158 -2.4321
3.8896 -1.8435 2.8150
-3.3434 -1.6312 3.5515
Mo Sc Br
1 3 1
Cartesian
0.0000 0.0000 0.0000
1.9448 -0.9218 1.4075
-0.1901 -2.2579 -1.2160
-1.6717 -0.8156 1.7757
0.0830 -3.9953 1.9672
```

Crystal system: cubic
Space group: Pm-3m
Uncorrected formation energy (eV/f.u.): 1.76

## TcCl (PBE)

Data for a geometry-optimized TcCl structure.

The structure in POSCAR format:
```
TcCl
1.0
1.5783 6.4694 -0.6117
-1.5783 6.4694 -0.6117
0.0000 2.2056 6.0085
Tc Cl
3 3
Cartesian
0.0000 10.6243 2.7045
0.0000 12.9822 4.0260
0.0000 5.0002 5.3801
0.0000 5.3259 2.0669
0.0000 8.7584 0.7615
0.0000 2.4235 4.6270
```

Crystal system: monoclinic
Space group: Cm
Uncorrected formation energy (eV/f.u.): 0.22
Excess energy over the best structure of this formula in the dataset (meV/atom): 235